CaY2Ir | GGA-PBE | relaxed

a b c (Å): 7.2793 7.2793 7.2793
angles (deg): 90.00 90.00 90.00
Last column: nearest neighbours and their distance in Å.
Element x y z (fractional)
Ca  0.0000  0.0000  0.0000  8 Y 3.15
Ca  0.0000  0.5000  0.5000  8 Y 3.15
Ca  0.5000  0.0000  0.5000  8 Y 3.15
Ca  0.5000  0.5000  0.0000  8 Y 3.15
Y  0.2500  0.2500  0.2500  4 Ir 3.15, 4 Ca 3.15
Y  0.2500  0.2500  0.7500  4 Ca 3.15, 4 Ir 3.15
Y  0.2500  0.7500  0.2500  4 Ca 3.15, 4 Ir 3.15
Y  0.2500  0.7500  0.7500  4 Ir 3.15, 4 Ca 3.15
Y  0.7500  0.2500  0.2500  4 Ca 3.15, 4 Ir 3.15
Y  0.7500  0.2500  0.7500  4 Ir 3.15, 4 Ca 3.15
Y  0.7500  0.7500  0.2500  4 Ir 3.15, 4 Ca 3.15
Y  0.7500  0.7500  0.7500  4 Ca 3.15, 4 Ir 3.15
Ir  0.0000  0.0000  0.5000  8 Y 3.15
Ir  0.0000  0.5000  0.0000  8 Y 3.15
Ir  0.5000  0.0000  0.0000  8 Y 3.15
Ir  0.5000  0.5000  0.5000  8 Y 3.15

Output
Space group: Fm-3m (225)
Crystal system: cubic
ΔE_f, eV/f.u.: -0.8